SrPtCl2 | PBE-GGA | optimized geometry

ΔE_f (raw) ... -857 meV/atom
Polymorph energy (0 for the lowest one) ... 468 meV/atom

Unit cell a=7.0612 b=7.0612 c=7.0612 alpha=90.00 beta=90.00 gamma=90.00
Space group Fm-3m (No. 225)
Inequivalent atoms, fractional coordinates:
Sr 0.0000 0.0000 0.0000 x4
Pt 0.0000 0.0000 0.5000 x4
Cl 0.2500 0.2500 0.2500 x8